No. 1
RbNb2BiS at its PBEsol-relaxed geometry, computed with meta-GGA SCAN.

Cell lengths 4.9172, 4.9172, 5.2637 Å; angles 90.00, 90.00, 90.00 degrees
Sites, in units of the cell vectors:
Rb (0.0000, 0.0000, 0.0000)
Nb (0.0000, 0.5000, 0.0000)
Nb (0.5000, 0.0000, 0.0000)
Bi (0.5000, 0.5000, 0.5000)
S (0.0000, 0.0000, 0.5000)

Summary:
space group = No. 123
formation energy (no corrections) = 12.0 eV/f.u.
spin magnetization = 4.097 Bohr magnetons per cell

---

No. 2
LaCd2Ir at its PBEsol-relaxed geometry, computed with meta-GGA SCAN.

Cell lengths 4.9509, 4.9509, 4.9509 Å; angles 120.84, 118.63, 90.47 degrees
Sites, in units of the cell vectors:
La (0.0000, 0.0000, 0.0000)
Cd (0.2618, 0.7618, 0.5000)
Cd (0.5042, 0.5042, 0.0000)
Ir (0.7336, 0.2336, 0.5000)

Summary:
space group = No. 44
ΔE_f = -211 meV per atom
spin magnetization = 0.000 Bohr magnetons per cell

---

No. 3
FeTe2Ir at its PBEsol-relaxed geometry, computed with meta-GGA SCAN.

Cell lengths 4.6599, 4.6599, 4.6599 Å; angles 60.00, 60.00, 60.00 degrees
Sites, in units of the cell vectors:
Fe (0.0000, 0.0000, 0.0000)
Te (0.2500, 0.2500, 0.2500)
Te (0.7500, 0.7500, 0.7500)
Ir (0.5000, 0.5000, 0.5000)

Summary:
space group = No. 225
formation energy (no corrections) = 1.7 eV/f.u.
spin magnetization = 2.469 Bohr magnetons per cell

---

No. 4
Tb5NiPb3 at its PBEsol-relaxed geometry, computed with meta-GGA SCAN.

Cell lengths 9.0778, 9.0778, 6.5971 Å; angles 90.00, 90.00, 120.00 degrees
Sites, in units of the cell vectors:
Tb (0.0000, 0.2398, 0.2500)
Tb (0.0000, 0.7602, 0.7500)
Tb (0.2398, 0.0000, 0.2500)
Tb (0.2398, 0.2398, 0.7500)
Tb (0.3333, 0.6667, 0.0000)
Tb (0.3333, 0.6667, 0.5000)
Tb (0.6667, 0.3333, 0.0000)
Tb (0.6667, 0.3333, 0.5000)
Tb (0.7602, 0.0000, 0.7500)
Tb (0.7602, 0.7602, 0.2500)
Ni (0.0000, 0.0000, 0.0000)
Ni (0.0000, 0.0000, 0.5000)
Pb (0.0000, 0.3989, 0.7500)
Pb (0.0000, 0.6011, 0.2500)
Pb (0.3989, 0.0000, 0.7500)
Pb (0.3989, 0.3989, 0.2500)
Pb (0.6011, 0.0000, 0.2500)
Pb (0.6011, 0.6011, 0.7500)

Summary:
space group = No. 193
ΔE_f = -724 meV per atom
spin magnetization = 0.000 Bohr magnetons per cell

---

No. 5
Li3Ti2VO6 at its PBEsol-relaxed geometry, computed with meta-GGA SCAN.

Cell lengths 6.6053, 6.6053, 5.8704 Å; angles 106.91, 106.91, 25.10 degrees
Sites, in units of the cell vectors:
Li (0.0000, 0.0000, 0.0000)
Li (0.3332, 0.3332, 0.6769)
Li (0.6668, 0.6668, 0.3231)
Ti (0.3439, 0.3439, 0.1895)
Ti (0.6561, 0.6561, 0.8105)
V (0.0000, 0.0000, 0.5000)
O (0.1675, 0.1675, 0.5845)
O (0.1723, 0.1723, 0.0622)
O (0.4971, 0.4971, 0.7439)
O (0.5029, 0.5029, 0.2561)
O (0.8277, 0.8277, 0.9378)
O (0.8325, 0.8325, 0.4155)

Summary:
space group = No. 12
formation energy (no corrections) = -33.2 eV/f.u.
spin magnetization = 1.241 Bohr magnetons per cell

---

No. 6
SrYRe at its PBEsol-relaxed geometry, computed with meta-GGA SCAN.

Cell lengths 5.1139, 5.1139, 3.0989 Å; angles 90.00, 90.00, 120.00 degrees
Sites, in units of the cell vectors:
Sr (0.0000, 0.0000, 0.0000)
Y (0.3333, 0.6667, 0.5031)
Re (0.6667, 0.3333, 0.4971)

Summary:
space group = No. 156
ΔE_f = 863 meV per atom
spin magnetization = 0.000 Bohr magnetons per cell

---

No. 7
LiFeSb2O at its PBEsol-relaxed geometry, computed with meta-GGA SCAN.

Cell lengths 5.1014, 5.1014, 3.1809 Å; angles 90.00, 90.00, 90.00 degrees
Sites, in units of the cell vectors:
Li (0.0000, 0.0000, 0.0000)
Fe (0.5000, 0.5000, 0.5000)
Sb (0.0000, 0.5000, 0.0000)
Sb (0.5000, 0.0000, 0.0000)
O (0.0000, 0.0000, 0.5000)

Summary:
space group = No. 123
formation energy (no corrections) = 0.7 eV/f.u.
spin magnetization = 3.151 Bohr magnetons per cell

---

No. 8
ScTa2W at its PBEsol-relaxed geometry, computed with meta-GGA SCAN.

Cell lengths 5.3590, 5.3590, 5.3590 Å; angles 136.70, 136.70, 62.90 degrees
Sites, in units of the cell vectors:
Sc (0.0000, 0.0000, 0.0000)
Ta (0.5000, 0.5000, 0.0000)
Ta (0.7500, 0.2500, 0.5000)
W (0.2500, 0.7500, 0.5000)

Summary:
space group = No. 119
ΔE_f = 374 meV per atom
spin magnetization = 0.000 Bohr magnetons per cell

---

Please write out number 8 again, unchanged.
ScTa2W at its PBEsol-relaxed geometry, computed with meta-GGA SCAN.

Cell lengths 5.3590, 5.3590, 5.3590 Å; angles 136.70, 136.70, 62.90 degrees
Sites, in units of the cell vectors:
Sc (0.0000, 0.0000, 0.0000)
Ta (0.5000, 0.5000, 0.0000)
Ta (0.7500, 0.2500, 0.5000)
W (0.2500, 0.7500, 0.5000)

Summary:
space group = No. 119
ΔE_f = 374 meV per atom
spin magnetization = 0.000 Bohr magnetons per cell